1.
{"formula": "CaTaCl4", "functional": "PBE", "state": "relaxed", "cell": [[0.000, 4.180, 4.180], [4.180, 0.000, 4.180], [4.180, 4.180, 0.000]], "species": ["Ca", "Ta", "Cl", "Cl", "Cl", "Cl"], "frac_coords": [[0.000, 0.000, 0.000], [0.250, 0.250, 0.250], [0.126, 0.625, 0.625], [0.625, 0.126, 0.625], [0.625, 0.625, 0.126], [0.625, 0.625, 0.625]], "e_form_raw_mev_per_atom": 402}


2.
{"formula": "Ba2AlIr", "functional": "PBE", "state": "relaxed", "cell": [[4.422, 0.000, 0.000], [0.000, 2.431, 6.304], [0.000, -2.431, 6.304]], "species": ["Ba", "Ba", "Al", "Ir"], "frac_coords": [[0.000, 0.000, 0.000], [0.500, 0.279, 0.279], [0.500, 0.591, 0.591], [0.000, 0.678, 0.678]], "e_form_ev_per_fu": -1.04}


3.
{"formula": "Y2NpS3", "functional": "PBE", "state": "relaxed", "cell": [[-1.955, 1.955, 8.339], [1.955, -1.955, 8.339], [1.955, 1.955, -8.339]], "species": ["Y", "Y", "Np", "S", "S", "S"], "frac_coords": [[0.164, 0.164, 0.000], [0.836, 0.836, 0.000], [0.500, 0.500, 0.000], [0.000, 0.000, 0.000], [0.331, 0.331, 0.000], [0.669, 0.669, 0.000]], "e_form_raw_mev_per_atom": -1808}


4.
{"formula": "AlAuBr4", "functional": "PBE", "state": "relaxed", "cell": [[0.000, 4.446, 4.446], [4.446, 0.000, 4.446], [4.446, 4.446, 0.000]], "species": ["Al", "Au", "Br", "Br", "Br", "Br"], "frac_coords": [[0.000, 0.000, 0.000], [0.750, 0.750, 0.750], [0.377, 0.377, 0.377], [0.377, 0.377, 0.870], [0.377, 0.870, 0.377], [0.870, 0.377, 0.377]], "e_form_raw_mev_per_atom": 723}


5.
{"formula": "Sb2HIN", "functional": "PBE", "state": "relaxed", "cell": [[4.370, 0.000, 0.000], [0.000, 4.370, 0.000], [0.000, 0.000, 5.258]], "species": ["Sb", "Sb", "H", "I", "N"], "frac_coords": [[0.000, 0.500, 0.000], [0.500, 0.000, 0.000], [0.000, 0.000, 0.000], [0.000, 0.000, 0.500], [0.500, 0.500, 0.500]], "final_energy_ev_per_atom": -2.814}


6.
{"formula": "V6Cr5Rh", "functional": "PBE", "state": "relaxed", "cell": [[-2.073, 2.933, 6.218], [2.073, -2.933, 6.218], [2.073, 2.933, -6.218]], "species": ["V", "V", "V", "V", "V", "V", "Cr", "Cr", "Cr", "Cr", "Cr", "Rh"], "frac_coords": [[0.075, 0.330, 0.745], [0.240, 0.000, 0.240], [0.415, 0.670, 0.745], [0.585, 0.330, 0.255], [0.760, 0.000, 0.760], [0.925, 0.670, 0.255], [0.000, 0.500, 0.500], [0.167, 0.167, 0.000], [0.334, 0.834, 0.500], [0.666, 0.166, 0.500], [0.833, 0.833, 0.000], [0.500, 0.500, 0.000]], "e_form_ev_per_fu": -2.05}


7.
{"formula": "CeY2Os2", "functional": "PBE", "state": "relaxed", "cell": [[-2.163, 2.920, 4.560], [2.163, -2.920, 4.560], [2.163, 2.920, -4.560]], "species": ["Ce", "Y", "Y", "Os", "Os"], "frac_coords": [[0.000, 0.000, 0.000], [0.304, 0.804, 0.500], [0.696, 0.196, 0.500], [0.271, 0.500, 0.771], [0.729, 0.500, 0.229]], "e_form_ev_per_fu": -1.37}


8.
{"formula": "Ba4LiTl", "functional": "PBE", "state": "relaxed", "cell": [[0.000, 5.345, 5.345], [5.345, 0.000, 5.345], [5.345, 5.345, 0.000]], "species": ["Ba", "Ba", "Ba", "Ba", "Li", "Tl"], "frac_coords": [[0.376, 0.376, 0.376], [0.376, 0.376, 0.872], [0.376, 0.872, 0.376], [0.872, 0.376, 0.376], [0.000, 0.000, 0.000], [0.750, 0.750, 0.750]], "e_form_ev_per_fu": 1.93}


9.
{"formula": "Sr2Cd2In", "functional": "PBE", "state": "relaxed", "cell": [[6.071, -2.479, 0.000], [6.071, 2.479, 0.000], [-5.415, 0.000, 10.846]], "species": ["Sr", "Sr", "Sr", "Sr", "Cd", "Cd", "Cd", "Cd", "In", "In"], "frac_coords": [[0.016, 0.016, 0.339], [0.193, 0.193, 0.111], [0.807, 0.807, 0.889], [0.984, 0.984, 0.661], [0.362, 0.362, 0.440], [0.483, 0.483, 0.114], [0.517, 0.517, 0.886], [0.638, 0.638, 0.560], [0.275, 0.275, 0.654], [0.725, 0.725, 0.346]], "e_form_ev_per_fu": -1.82}


10.
{"formula": "LiSn2Ge", "functional": "PBE", "state": "relaxed", "cell": [[3.761, 0.000, 0.000], [0.000, 3.761, 0.000], [0.000, 0.000, 6.430]], "species": ["Li", "Sn", "Sn", "Ge"], "frac_coords": [[0.000, 0.000, 0.000], [0.500, 0.500, 0.258], [0.500, 0.500, 0.742], [0.000, 0.000, 0.500]], "e_form_ev_per_fu": -0.15}


11.
{"formula": "La2Nd2Er5", "functional": "PBE", "state": "relaxed", "cell": [[-7.523, 5.992, 3.376], [7.523, -5.992, 3.376], [7.523, 5.992, -3.376]], "species": ["La", "La", "La", "La", "Nd", "Nd", "Nd", "Nd", "Er", "Er", "Er", "Er", "Er", "Er", "Er", "Er", "Er", "Er"], "frac_coords": [[0.001, 0.127, 0.128], [0.001, 0.373, 0.374], [0.999, 0.627, 0.626], [0.999, 0.873, 0.872], [0.457, 0.457, 0.000], [0.457, 0.957, 0.500], [0.537, 0.294, 0.742], [0.552, 0.794, 0.258], [0.092, 0.601, 0.991], [0.099, 0.188, 0.626], [0.099, 0.973, 0.411], [0.397, 0.088, 0.203], [0.397, 0.694, 0.809], [0.563, 0.473, 0.374], [0.563, 0.688, 0.589], [0.611, 0.101, 0.009], [0.886, 0.194, 0.797], [0.886, 0.588, 0.191]], "e_form_ev_per_fu": 1.76}


12.
{"formula": "LiSmErRu", "functional": "PBE", "state": "relaxed", "cell": [[0.000, 3.492, 3.492], [3.492, 0.000, 3.492], [3.492, 3.492, 0.000]], "species": ["Li", "Sm", "Er", "Ru"], "frac_coords": [[0.000, 0.000, 0.000], [0.750, 0.750, 0.750], [0.250, 0.250, 0.250], [0.500, 0.500, 0.500]], "e_form_ev_per_fu": -1.00}


13.
{"formula": "ErAl12Fe4", "functional": "PBE", "state": "relaxed", "cell": [[-4.486, 4.486, 4.486], [4.486, -4.486, 4.486], [4.486, 4.486, -4.486]], "species": ["Er", "Al", "Al", "Al", "Al", "Al", "Al", "Al", "Al", "Al", "Al", "Al", "Al", "Fe", "Fe", "Fe", "Fe"], "frac_coords": [[0.000, 0.000, 0.000], [0.000, 0.263, 0.737], [0.000, 0.737, 0.263], [0.263, 0.000, 0.737], [0.263, 0.263, 0.525], [0.263, 0.525, 0.263], [0.263, 0.737, 0.000], [0.475, 0.737, 0.737], [0.525, 0.263, 0.263], [0.737, 0.000, 0.263], [0.737, 0.263, 0.000], [0.737, 0.475, 0.737], [0.737, 0.737, 0.475], [0.000, 0.000, 0.500], [0.000, 0.500, 0.000], [0.500, 0.000, 0.000], [0.500, 0.500, 0.500]], "e_form_ev_per_fu": -0.88}


14.
{"formula": "SrRe3", "functional": "PBE", "state": "relaxed", "cell": [[5.273, 0.000, 0.000], [0.000, 5.273, 0.000], [0.000, 0.000, 5.273]], "species": ["Sr", "Sr", "Re", "Re", "Re", "Re", "Re", "Re"], "frac_coords": [[0.000, 0.000, 0.000], [0.500, 0.500, 0.500], [0.000, 0.250, 0.500], [0.000, 0.750, 0.500], [0.250, 0.500, 0.000], [0.500, 0.000, 0.250], [0.500, 0.000, 0.750], [0.750, 0.500, 0.000]], "e_form_ev_per_fu": 6.19}


15.
{"formula": "Ce2Al3IrPt12", "functional": "PBE", "state": "relaxed", "cell": [[4.062, 2.345, 6.251], [-4.062, 2.345, 6.251], [0.000, -4.691, 6.251]], "species": ["Ce", "Ce", "Al", "Al", "Al", "Ir", "Pt", "Pt", "Pt", "Pt", "Pt", "Pt", "Pt", "Pt", "Pt", "Pt", "Pt", "Pt"], "frac_coords": [[0.120, 0.120, 0.120], [0.880, 0.880, 0.880], [0.000, 0.500, 0.500], [0.500, 0.000, 0.500], [0.500, 0.500, 0.000], [0.500, 0.500, 0.500], [0.113, 0.638, 0.638], [0.125, 0.125, 0.620], [0.125, 0.620, 0.125], [0.362, 0.362, 0.887], [0.362, 0.887, 0.362], [0.380, 0.875, 0.875], [0.620, 0.125, 0.125], [0.638, 0.113, 0.638], [0.638, 0.638, 0.113], [0.875, 0.380, 0.875], [0.875, 0.875, 0.380], [0.887, 0.362, 0.362]], "e_form_ev_per_fu": -7.94}


16.
{"formula": "LaBCl", "functional": "PBE", "state": "relaxed", "cell": [[3.824, -1.664, 0.000], [3.824, 1.664, 0.000], [-2.184, 0.000, 11.133]], "species": ["La", "La", "B", "B", "Cl", "Cl"], "frac_coords": [[0.055, 0.055, 0.168], [0.945, 0.945, 0.832], [0.275, 0.275, 0.998], [0.725, 0.725, 0.002], [0.198, 0.198, 0.669], [0.802, 0.802, 0.331]], "e_form_raw_mev_per_atom": -1185}


17.
{"formula": "VPHRuS", "functional": "PBE", "state": "relaxed", "cell": [[3.455, 0.000, 0.000], [0.000, 3.145, 0.000], [-1.640, 0.000, 5.885]], "species": ["V", "P", "H", "Ru", "S"], "frac_coords": [[0.000, 0.000, 0.000], [0.426, 0.500, 0.860], [0.619, 0.000, 0.552], [0.802, 0.500, 0.594], [0.151, 0.500, 0.301]], "final_energy_ev_per_atom": -6.639}


18.
{"formula": "TaTlBi3", "functional": "PBE", "state": "relaxed", "cell": [[5.654, 0.000, 0.000], [0.000, 5.654, 0.000], [0.000, 0.000, 5.654]], "species": ["Ta", "Tl", "Bi", "Bi", "Bi"], "frac_coords": [[0.000, 0.000, 0.000], [0.500, 0.500, 0.500], [0.000, 0.500, 0.500], [0.500, 0.000, 0.500], [0.500, 0.500, 0.000]], "e_form_ev_per_fu": 8.79}


19.
{"formula": "Rb2YErO4", "functional": "PBE", "state": "relaxed", "cell": [[6.056, 0.000, 0.000], [0.000, 3.496, 0.000], [-2.017, 0.000, 6.557]], "species": ["Rb", "Rb", "Y", "Er", "O", "O", "O", "O"], "frac_coords": [[0.000, 0.000, 0.000], [0.500, 0.500, 0.000], [0.000, 0.500, 0.500], [0.500, 0.000, 0.500], [0.228, 0.000, 0.675], [0.278, 0.500, 0.325], [0.722, 0.500, 0.675], [0.772, 0.000, 0.325]], "e_form_raw_mev_per_atom": -2700}


20.
{"formula": "AcPmSmEr", "functional": "PBE", "state": "relaxed", "cell": [[5.831, 0.000, 0.000], [0.000, 3.525, 0.000], [-0.013, 0.000, 7.038]], "species": ["Ac", "Pm", "Sm", "Er"], "frac_coords": [[0.000, 0.000, 0.000], [0.500, 0.500, 0.258], [0.499, 0.000, 0.720], [0.999, 0.000, 0.488]], "e_form_ev_per_fu": 0.87}


21.
{"formula": "SbAsPbSe2", "functional": "PBE", "state": "relaxed", "cell": [[5.340, 0.000, 0.000], [0.000, 5.340, 0.000], [0.000, 0.000, 5.282]], "species": ["Sb", "As", "Pb", "Se", "Se"], "frac_coords": [[0.000, 0.000, 0.000], [0.000, 0.000, 0.500], [0.500, 0.500, 0.500], [0.000, 0.500, 0.000], [0.500, 0.000, 0.000]], "e_form_raw_mev_per_atom": 308}


22.
{"formula": "ErLu2Tl", "functional": "PBE", "state": "relaxed", "cell": [[3.557, 0.000, 0.000], [0.000, 3.557, 0.000], [0.000, 0.000, 8.950]], "species": ["Er", "Lu", "Lu", "Tl"], "frac_coords": [[0.000, 0.000, 0.000], [0.500, 0.500, 0.268], [0.500, 0.500, 0.732], [0.000, 0.000, 0.500]], "e_form_ev_per_fu": -0.64}


23.
{"formula": "Ca5TlSn4", "functional": "PBE", "state": "relaxed", "cell": [[3.846, 0.000, 0.000], [0.000, 3.846, 0.000], [0.000, 0.000, 19.600]], "species": ["Ca", "Ca", "Ca", "Ca", "Ca", "Tl", "Sn", "Sn", "Sn", "Sn"], "frac_coords": [[0.000, 0.000, 0.000], [0.000, 0.000, 0.201], [0.000, 0.000, 0.401], [0.000, 0.000, 0.599], [0.000, 0.000, 0.799], [0.500, 0.500, 0.500], [0.500, 0.500, 0.101], [0.500, 0.500, 0.303], [0.500, 0.500, 0.697], [0.500, 0.500, 0.899]], "e_form_ev_per_fu": -5.55}


24.
{"formula": "DyNpSb2", "functional": "PBE", "state": "relaxed", "cell": [[2.190, 1.264, 7.207], [-2.190, 1.264, 7.207], [0.000, -2.529, 7.207]], "species": ["Dy", "Np", "Sb", "Sb"], "frac_coords": [[0.000, 0.000, 0.000], [0.500, 0.500, 0.500], [0.250, 0.250, 0.250], [0.750, 0.750, 0.750]], "e_form_raw_mev_per_atom": -657}


25.
{"formula": "Pm3Te3Cl2", "functional": "PBE", "state": "relaxed", "cell": [[-2.040, 2.379, 11.677], [2.040, -2.379, 11.677], [2.040, 2.379, -11.677]], "species": ["Pm", "Pm", "Pm", "Te", "Te", "Te", "Cl", "Cl"], "frac_coords": [[0.000, 0.000, 0.000], [0.335, 0.835, 0.500], [0.665, 0.165, 0.500], [0.119, 0.619, 0.500], [0.500, 0.500, 0.000], [0.881, 0.381, 0.500], [0.247, 0.247, 0.000], [0.753, 0.753, 0.000]], "e_form_raw_mev_per_atom": -1546}